1.
VASP calculation (PBEsol) on NbTl3Ga after structural relaxation.

Properties
The total energy is -3.720 eV per atom. The value obtained for the formation energy is 690 meV per atom. The magnetic moment comes out at 0.0 μB per formula unit. Its density of states at the Fermi level is 3.469 states/eV per cell.

Cell and atoms, written as POSCAR:
```
NbTl3Ga
1.0
5.4070 0.0000 0.0000
0.0000 5.4070 0.0000
0.0000 0.0000 5.4070
Tl Nb Ga
3 1 1
direct
0.0000 0.5000 0.0000
0.0000 0.0000 0.5000
0.5000 0.0000 0.0000
0.0000 0.0000 0.0000
0.5000 0.5000 0.5000
```


2.
VASP calculation (PBEsol) on Nb2Ga2W after structural relaxation.

Properties
The total energy is -8.689 eV per atom. The value obtained for the formation energy is -263 meV per atom. The magnetic moment comes out at 0.0 μB per formula unit. Its density of states at the Fermi level is 3.128 states/eV per cell.

Cell and atoms, written as POSCAR:
```
Nb2Ga2W
1.0
-3.2165 0.3555 -1.3233
0.9957 -5.4177 -3.8756
-2.4446 -3.9424 4.8831
Nb Ga W
4 4 2
direct
0.5000 0.1750 0.6750
0.5000 0.6750 0.8250
0.5000 0.8250 0.3250
0.5000 0.3250 0.1750
0.0000 0.3723 0.8723
0.0000 0.8723 0.6277
0.0000 0.6277 0.1277
0.0000 0.1277 0.3723
0.0000 0.0000 0.0000
0.0000 0.5000 0.5000
```


3.
VASP calculation (PBEsol) on NbGaW3 after structural relaxation.

Properties
The total energy is -8.700 eV per atom. The value obtained for the formation energy is 2417 meV per atom. The magnetic moment comes out at 0.0 μB per formula unit. Its density of states at the Fermi level is 3.917 states/eV per cell.

Cell and atoms, written as POSCAR:
```
NbGaW3
1.0
-4.5298 -1.2516 0.4967
1.0524 -4.3780 -1.4346
0.8401 -1.2645 4.4752
Nb Ga W
1 1 3
direct
0.0000 0.0000 0.0000
0.5000 0.5000 0.5000
0.0000 0.5000 0.0000
0.0000 0.0000 0.5000
0.5000 0.0000 0.0000
```


4.
VASP calculation (PBEsol) on Nb3GaW after structural relaxation.

Properties
The total energy is -8.549 eV per atom. The value obtained for the formation energy is 1374 meV per atom. The magnetic moment comes out at 0.0 μB per formula unit. Its density of states at the Fermi level is 4.049 states/eV per cell.

Cell and atoms, written as POSCAR:
```
Nb3GaW
1.0
4.8174 0.0000 0.0000
0.0000 4.8174 0.0000
0.0000 0.0000 4.8174
Nb Ga W
3 1 1
direct
0.0000 0.5000 0.0000
0.0000 0.0000 0.5000
0.5000 0.0000 0.0000
0.5000 0.5000 0.5000
0.0000 0.0000 0.0000
```


5.
VASP calculation (PBEsol) on YNb3Ga after structural relaxation.

Properties
The total energy is -6.559 eV per atom. The value obtained for the formation energy is 1966 meV per atom. The magnetic moment comes out at 0.0 μB per formula unit. Its density of states at the Fermi level is 4.101 states/eV per cell.

Cell and atoms, written as POSCAR:
```
YNb3Ga
1.0
-0.9974 -4.4472 -1.6244
3.2982 -1.8436 3.0222
-3.3967 -0.4843 3.4115
Y Nb Ga
1 3 1
direct
0.0000 0.0000 0.0000
0.0000 0.5000 0.0000
0.0000 0.0000 0.5000
0.5000 0.0000 0.0000
0.5000 0.5000 0.5000
```


6.
VASP calculation (PBEsol) on Zr2NbGa2 after structural relaxation.

Properties
The total energy is -7.663 eV per atom. The value obtained for the formation energy is -526 meV per atom. The magnetic moment comes out at 0.0 μB per formula unit. Its density of states at the Fermi level is 9.400 states/eV per cell.

Cell and atoms, written as POSCAR:
```
Zr2NbGa2
1.0
3.6653 0.0000 0.0000
0.0000 7.0700 0.0000
0.0000 0.0000 7.0700
Nb Ga Zr
2 4 4
direct
0.0000 0.0000 0.0000
0.0000 0.5000 0.5000
0.0000 0.3752 0.8752
0.0000 0.8752 0.6248
0.0000 0.6248 0.1248
0.0000 0.1248 0.3752
0.5000 0.1778 0.6778
0.5000 0.6778 0.8222
0.5000 0.8222 0.3222
0.5000 0.3222 0.1778
```


7.
VASP calculation (PBEsol) on NdGa3 after structural relaxation.

Properties
The total energy is -4.348 eV per atom. The value obtained for the formation energy is -551 meV per atom. The magnetic moment comes out at 0.0 μB per formula unit. Its density of states at the Fermi level is 1.615 states/eV per cell.

Cell and atoms, written as POSCAR:
```
NdGa3
1.0
4.3040 0.0000 0.0000
0.0000 4.3040 0.0000
0.0000 0.0000 4.3040
Nd Ga
1 3
direct
0.0000 0.0000 0.0000
0.5000 0.5000 0.0000
0.5000 0.0000 0.5000
0.0000 0.5000 0.5000
```


8.
VASP calculation (PBEsol) on NdGa3 after structural relaxation.

Properties
The total energy is -4.426 eV per atom. The value obtained for the formation energy is -630 meV per atom. The magnetic moment comes out at 0.0 μB per formula unit. Its density of states at the Fermi level is 1.959 states/eV per cell.

Cell and atoms, written as POSCAR:
```
NdGa3
1.0
-4.2841 -1.3900 -0.0794
1.6268 -5.2017 3.2884
-1.7716 5.2844 3.0748
Nd Ga
2 6
direct
0.2500 0.6667 0.3333
0.7500 0.3333 0.6667
0.7500 0.8571 0.1429
0.7500 0.8571 0.7142
0.7500 0.2858 0.1429
0.2500 0.1429 0.8571
0.2500 0.1429 0.2858
0.2500 0.7142 0.8571
```


9.
VASP calculation (PBEsol) on NdGa2 after structural relaxation.

Properties
The total energy is -4.687 eV per atom. The value obtained for the formation energy is -738 meV per atom. The magnetic moment comes out at 0.0 μB per formula unit. Its density of states at the Fermi level is 1.412 states/eV per cell.

Cell and atoms, written as POSCAR:
```
NdGa2
1.0
-2.7558 1.8475 2.6130
1.3054 -3.9451 0.7532
3.1846 1.4934 2.3027
Nd Ga
1 2
direct
0.0000 0.0000 0.0000
0.3333 0.6667 0.5000
0.6667 0.3333 0.5000
```


10.
VASP calculation (PBEsol) on NdGa2Ni3 after structural relaxation.

Properties
The total energy is -5.602 eV per atom. The value obtained for the formation energy is -548 meV per atom. The magnetic moment comes out at 0.0 μB per formula unit. Its density of states at the Fermi level is 13.753 states/eV per cell.

Cell and atoms, written as POSCAR:
```
NdGa2Ni3
1.0
4.0614 0.0000 0.0000
0.0000 8.7593 0.0000
0.0000 -4.3797 7.5858
Nd Ga Ni
3 6 9
direct
0.5000 0.6667 0.3333
0.5000 0.3333 0.6667
0.0000 0.0000 0.0000
0.0000 0.5230 0.5230
0.0000 0.0000 0.4770
0.0000 0.4770 0.0000
0.5000 0.2737 0.2737
0.5000 0.0000 0.7263
0.5000 0.7263 0.0000
0.0000 0.7991 0.1707
0.0000 0.3715 0.2009
0.0000 0.8293 0.6285
0.0000 0.1707 0.7991
0.0000 0.2009 0.3715
0.0000 0.6285 0.8293
0.5000 0.7098 0.7098
0.5000 0.0000 0.2902
0.5000 0.2902 0.0000
```


11.
VASP calculation (PBEsol) on NdGa2Ni after structural relaxation.

Properties
The total energy is -5.167 eV per atom. The value obtained for the formation energy is -666 meV per atom. The magnetic moment comes out at 0.0 μB per formula unit. Its density of states at the Fermi level is 5.270 states/eV per cell.

Cell and atoms, written as POSCAR:
```
NdGa2Ni
1.0
-2.1525 2.3216 2.6017
-3.3466 -2.3627 -0.6604
0.6729 -6.3318 6.2068
Nd Ga Ni
2 4 2
direct
0.0000 0.1415 0.7171
0.0000 0.8585 0.2829
0.5000 0.0000 0.0000
0.5000 0.2908 0.4185
0.0000 0.5000 0.0000
0.5000 0.7092 0.5815
0.5000 0.4271 0.1457
0.5000 0.5729 0.8543
```


12.
VASP calculation (PBEsol) on Nd2GaNi2 after structural relaxation.

Properties
The total energy is -5.678 eV per atom. The value obtained for the formation energy is -481 meV per atom. The magnetic moment comes out at 0.0 μB per formula unit. Its density of states at the Fermi level is 3.543 states/eV per cell.

Cell and atoms, written as POSCAR:
```
Nd2GaNi2
1.0
4.2212 0.0000 0.0000
0.0000 5.3416 0.0000
-2.1106 -2.6708 4.2067
Ni Nd Ga
2 2 1
direct
0.5000 0.2631 0.0000
0.5000 0.7369 0.0000
0.2012 0.7012 0.4023
0.7988 0.2988 0.5977
0.0000 0.0000 0.0000
```


13.
VASP calculation (PBEsol) on NdGaO3 after structural relaxation.

Properties
The total energy is -7.562 eV per atom. For the uncorrected formation energy, the calculation gives -2.7111 eV/atom. The magnetic moment comes out at 0.0 μB per formula unit. Its density of states at the Fermi level is 0.000 states/eV per cell.

Cell and atoms, written as POSCAR:
```
NdGaO3
1.0
-3.2817 3.7157 2.1640
-2.6880 -3.9752 2.7493
4.8443 0.8251 5.9295
Nd Ga O
4 4 12
direct
0.9871 0.4498 0.7500
0.0129 0.5502 0.2500
0.5129 0.9498 0.7500
0.4871 0.0502 0.2500
0.5000 0.5000 0.5000
0.5000 0.5000 0.0000
0.0000 0.0000 0.5000
0.0000 0.0000 0.0000
0.7092 0.2085 0.9545
0.2908 0.7915 0.4545
0.7908 0.7085 0.9545
0.2092 0.2915 0.4545
0.7092 0.2085 0.5455
0.2908 0.7915 0.0455
0.7908 0.7085 0.5455
0.2092 0.2915 0.0455
0.9152 0.9799 0.2500
0.0848 0.0201 0.7500
0.5848 0.4799 0.2500
0.4152 0.5201 0.7500
```


14.
VASP calculation (PBEsol) on SrNdGa3O7 after structural relaxation.

Properties
The total energy is -6.928 eV per atom. For the uncorrected formation energy, the calculation gives -2.4474 eV/atom. The magnetic moment comes out at 0.0 μB per formula unit. Its density of states at the Fermi level is 0.000 states/eV per cell.

Cell and atoms, written as POSCAR:
```
SrNdGa3O7
1.0
-3.6750 -3.2315 1.9900
5.6122 -3.7767 4.2314
-1.2076 5.0857 6.0284
Sr Nd Ga O
2 2 6 14
direct
0.5099 0.8385 0.1615
0.5099 0.1615 0.8385
0.4888 0.6612 0.6612
0.4888 0.3388 0.3388
0.9669 0.6421 0.3579
0.0341 0.8534 0.8534
0.9669 0.3579 0.6421
0.0341 0.1466 0.1466
0.0014 0.0000 0.5000
0.0014 0.5000 0.0000
0.7924 0.8342 0.4201
0.2123 0.6573 0.9042
0.7924 0.1658 0.5799
0.2123 0.3427 0.0958
0.2123 0.0958 0.3427
0.7924 0.4201 0.8342
0.2123 0.9042 0.6573
0.7924 0.5799 0.1658
0.1827 0.0000 0.0000
0.7918 0.5000 0.5000
0.3081 0.6289 0.3711
0.6942 0.8487 0.8487
0.3081 0.3711 0.6289
0.6942 0.1513 0.1513
```


15.
VASP calculation (PBEsol) on SrNdGaO4 after structural relaxation.

Properties
The total energy is -7.221 eV per atom. For the uncorrected formation energy, the calculation gives -2.7428 eV/atom. The magnetic moment comes out at 0.0 μB per formula unit. Its density of states at the Fermi level is 0.000 states/eV per cell.

Cell and atoms, written as POSCAR:
```
SrNdGaO4
1.0
3.8103 0.0000 0.0000
0.0000 3.8103 0.0000
-1.9051 -1.9051 6.1988
Sr Nd O Ga
1 1 4 1
direct
0.3562 0.3562 0.7124
0.6400 0.6400 0.2799
0.0080 0.5080 0.0159
0.5080 0.0080 0.0159
0.1650 0.1650 0.3301
0.8290 0.8290 0.6580
0.9939 0.9939 0.9878
```


16.
VASP calculation (PBEsol) on NdGa4Os after structural relaxation.

Properties
The total energy is -5.635 eV per atom. The value obtained for the formation energy is -511 meV per atom. The magnetic moment comes out at 0.0 μB per formula unit. Its density of states at the Fermi level is 11.602 states/eV per cell.

Cell and atoms, written as POSCAR:
```
NdGa4Os
1.0
-5.1386 -2.9568 4.7544
1.7754 -7.9501 -3.0252
6.7761 -1.0299 6.6833
Nd Ga Os
6 24 6
direct
0.6794 0.5000 0.7500
0.3206 0.5000 0.2500
0.1597 0.7520 0.7500
0.8403 0.2480 0.2500
0.1597 0.2480 0.7500
0.8403 0.7520 0.2500
0.8218 0.7615 0.5752
0.1782 0.2385 0.4248
0.8218 0.2385 0.9248
0.1782 0.7615 0.4248
0.1782 0.7615 0.0752
0.8218 0.2385 0.5752
0.1782 0.2385 0.0752
0.8218 0.7615 0.9248
0.8684 0.0000 0.7500
0.1316 0.0000 0.2500
0.6618 0.0000 0.0618
0.3382 0.0000 0.9382
0.6618 0.0000 0.4382
0.3382 0.0000 0.5618
0.5468 0.8426 0.7500
0.4532 0.1574 0.2500
0.5468 0.1574 0.7500
0.4532 0.8426 0.2500
0.3413 0.5000 0.5874
0.6587 0.5000 0.4126
0.3413 0.5000 0.9126
0.6587 0.5000 0.0874
0.0000 0.5000 0.5000
0.0000 0.5000 0.0000
0.5000 0.7401 0.5000
0.5000 0.2599 0.5000
0.5000 0.2599 0.0000
0.5000 0.7401 0.0000
0.0000 0.0000 0.5000
0.0000 0.0000 0.0000
```


17.
VASP calculation (PBEsol) on NdGaPd2 after structural relaxation.

Properties
The total energy is -5.967 eV per atom. The value obtained for the formation energy is -861 meV per atom. The magnetic moment comes out at 0.0 μB per formula unit. Its density of states at the Fermi level is 7.156 states/eV per cell.

Cell and atoms, written as POSCAR:
```
NdGaPd2
1.0
5.6430 0.0000 0.0000
0.0000 7.0570 0.0000
0.0000 0.0000 7.4488
Nd Ga Pd
4 4 8
direct
0.6454 0.2500 0.0333
0.8546 0.2500 0.5333
0.3546 0.7500 0.9667
0.1454 0.7500 0.4667
0.3519 0.2500 0.3823
0.1481 0.2500 0.8823
0.6481 0.7500 0.6177
0.8519 0.7500 0.1177
0.0881 0.4469 0.1785
0.4119 0.0531 0.6785
0.9119 0.9469 0.8215
0.5881 0.5531 0.3215
0.9119 0.5531 0.8215
0.5881 0.9469 0.3215
0.0881 0.0531 0.1785
0.4119 0.4469 0.6785
```


18.
VASP calculation (PBEsol) on NdGaPd after structural relaxation.

Properties
The total energy is -5.680 eV per atom. The value obtained for the formation energy is -858 meV per atom. The magnetic moment comes out at 0.0 μB per formula unit. Its density of states at the Fermi level is 6.455 states/eV per cell.

Cell and atoms, written as POSCAR:
```
NdGaPd
1.0
-2.2019 -1.5600 -3.6015
-0.6733 -6.2940 3.1379
-6.5882 2.2311 3.0615
Nd Ga Pd
4 4 4
direct
0.2500 0.9787 0.6957
0.7500 0.5213 0.1957
0.2500 0.4787 0.8043
0.7500 0.0213 0.3043
0.7500 0.1726 0.9215
0.7500 0.6726 0.5785
0.2500 0.3274 0.4215
0.2500 0.8274 0.0785
0.7500 0.2909 0.5944
0.2500 0.7091 0.4056
0.2500 0.2091 0.0944
0.7500 0.7909 0.9056
```


19.
VASP calculation (PBEsol) on NdGa2Pt3 after structural relaxation.

Properties
The total energy is -6.372 eV per atom. The value obtained for the formation energy is -916 meV per atom. The magnetic moment comes out at 0.0 μB per formula unit. Its density of states at the Fermi level is 1.920 states/eV per cell.

Cell and atoms, written as POSCAR:
```
NdGa2Pt3
1.0
-3.2274 2.3400 0.1757
-1.7878 -2.1058 -4.7966
-1.4618 -2.3751 4.7813
Nd Ga Pt
1 2 3
direct
0.0000 0.0000 0.0000
0.0000 0.6667 0.3333
0.0000 0.3333 0.6667
0.5000 0.0000 0.5000
0.5000 0.5000 0.5000
0.5000 0.5000 0.0000
```


20.
VASP calculation (PBEsol) on NdGa3Pt after structural relaxation.

Properties
The total energy is -5.194 eV per atom. The value obtained for the formation energy is -765 meV per atom. The magnetic moment comes out at 0.0 μB per formula unit. Its density of states at the Fermi level is 2.405 states/eV per cell.

Cell and atoms, written as POSCAR:
```
NdGa3Pt
1.0
-2.0873 0.0005 3.5742
-1.9547 -3.4654 -1.1411
5.9068 -1.2067 1.0531
Nd Ga Pt
1 3 1
direct
0.0000 0.0000 0.0000
0.3865 0.3865 0.7730
0.6135 0.6135 0.2270
0.2500 0.7500 0.5000
0.7500 0.2500 0.5000
```